(1)
{
  "formula": "TlGeCl3",
  "functional": "PBE-GGA",
  "state": "relaxed",
  "cell": [[5.7504, 0.0000, 0.0000], [0.0000, 7.1682, 0.0000], [-2.3360, 0.0000, 7.7558]],
  "species": ["Tl", "Tl", "Ge", "Ge", "Cl", "Cl", "Cl", "Cl", "Cl", "Cl"],
  "fractional_positions": [[0.1689, 0.2500, 0.3021], [0.8311, 0.7500, 0.6979], [0.4227, 0.2500, 0.8806], [0.5773, 0.7500, 0.1194], [0.1636, 0.7500, 0.1093], [0.3151, 0.0062, 0.6768], [0.3151, 0.4938, 0.6768], [0.6849, 0.5062, 0.3232], [0.6849, 0.9938, 0.3232], [0.8364, 0.2500, 0.8907]],
  "magmom_total_mub_per_fu": 0.00,
  "density_g_cm3": 4.0,
  "raw_formation_energy_ev_per_atom": -0.9201,
  "crystal_system": "monoclinic",
  "dft_energy_ev_per_atom": -3.425
}

(2)
{
  "formula": "Li2Pd5Pb",
  "functional": "PBE-GGA",
  "state": "relaxed",
  "cell": [[5.8244, 0.0000, 0.0000], [0.0000, 5.8244, 0.0000], [0.0000, 0.0000, 7.4267]],
  "species": ["Li", "Li", "Li", "Li", "Pd", "Pd", "Pd", "Pd", "Pd", "Pd", "Pd", "Pd", "Pd", "Pd", "Pb", "Pb"],
  "fractional_positions": [[0.0000, 0.5000, 0.0000], [0.0000, 0.5000, 0.5000], [0.5000, 0.0000, 0.0000], [0.5000, 0.0000, 0.5000], [0.0000, 0.0000, 0.0000], [0.2500, 0.2500, 0.2500], [0.2500, 0.2500, 0.7500], [0.2500, 0.7500, 0.2500], [0.2500, 0.7500, 0.7500], [0.5000, 0.5000, 0.5000], [0.7500, 0.2500, 0.2500], [0.7500, 0.2500, 0.7500], [0.7500, 0.7500, 0.2500], [0.7500, 0.7500, 0.7500], [0.0000, 0.0000, 0.5000], [0.5000, 0.5000, 0.0000]],
  "magmom_total_mub_per_fu": 0.00,
  "density_g_cm3": 9.9,
  "crystal_system": "tetragonal",
  "polymorph_energy_ev_per_fu": 0.00,
  "dft_energy_ev_per_atom": -4.552,
  "formation_energy_ev_per_atom": -0.36
}

(3)
{
  "formula": "MgCdAg2",
  "functional": "PBE-GGA",
  "state": "relaxed",
  "cell": [[3.0475, 0.0000, 0.0000], [0.0000, 4.7211, 0.0000], [-0.6933, 0.0000, 5.3359]],
  "species": ["Mg", "Cd", "Ag", "Ag"],
  "fractional_positions": [[0.0000, 0.0000, 0.0000], [0.1304, 0.5000, 0.6510], [0.5669, 0.0000, 0.4767], [0.5693, 0.5000, 0.1582]],
  "magmom_total_mub_per_fu": 0.00,
  "density_g_cm3": 7.6,
  "crystal_system": "monoclinic",
  "dft_energy_ev_per_atom": -2.171,
  "formation_energy_ev_per_atom": -0.12
}

(4)
{
  "formula": "LaCeTePb",
  "functional": "PBE-GGA",
  "state": "relaxed",
  "cell": [[7.8860, 0.0000, 0.0000], [0.0000, 7.8860, 0.0000], [0.0000, 0.0000, 7.8860]],
  "species": ["La", "La", "La", "La", "Ce", "Ce", "Ce", "Ce", "Te", "Te", "Te", "Te", "Pb", "Pb", "Pb", "Pb"],
  "fractional_positions": [[0.0000, 0.0000, 0.0000], [0.0000, 0.5000, 0.5000], [0.5000, 0.0000, 0.5000], [0.5000, 0.5000, 0.0000], [0.0000, 0.0000, 0.5000], [0.0000, 0.5000, 0.0000], [0.5000, 0.0000, 0.0000], [0.5000, 0.5000, 0.5000], [0.2500, 0.2500, 0.2500], [0.2500, 0.7500, 0.7500], [0.7500, 0.2500, 0.7500], [0.7500, 0.7500, 0.2500], [0.2500, 0.2500, 0.7500], [0.2500, 0.7500, 0.2500], [0.7500, 0.2500, 0.2500], [0.7500, 0.7500, 0.7500]],
  "magmom_total_mub_per_fu": 0.98,
  "density_g_cm3": 8.3,
  "raw_formation_energy_ev_per_atom": -0.8086,
  "crystal_system": "cubic",
  "polymorph_energy_ev_per_fu": 0.72,
  "dft_energy_ev_per_atom": -5.236
}

(5)
{
  "formula": "Rb3LiH3",
  "functional": "PBE-GGA",
  "state": "relaxed",
  "cell": [[3.9918, -6.5617, 0.0000], [3.9918, 6.5617, 0.0000], [-1.0310, 0.0000, 8.6376]],
  "species": ["Rb", "Rb", "Rb", "Rb", "Rb", "Rb", "Li", "Li", "H", "H", "H", "H", "H", "H"],
  "fractional_positions": [[0.1518, 0.8482, 0.0000], [0.2140, 0.7860, 0.5000], [0.4054, 0.4054, 0.7049], [0.5946, 0.5946, 0.2951], [0.7860, 0.2140, 0.5000], [0.8482, 0.1518, 0.0000], [0.1791, 0.1791, 0.3454], [0.8209, 0.8209, 0.6546], [0.0355, 0.0355, 0.7503], [0.1757, 0.4056, 0.4113], [0.4056, 0.1757, 0.4113], [0.5944, 0.8243, 0.5887], [0.8243, 0.5944, 0.5887], [0.9645, 0.9645, 0.2497]],
  "magmom_total_mub_per_fu": 0.00,
  "density_g_cm3": 2.0,
  "crystal_system": "monoclinic",
  "dft_energy_ev_per_atom": -2.256
}

(6)
{
  "formula": "Fe2SbOs",
  "functional": "PBE-GGA",
  "state": "relaxed",
  "cell": [[3.0616, 0.0000, 0.0000], [0.0000, 4.8213, 0.0000], [0.0000, 0.0000, 8.5797]],
  "species": ["Fe", "Fe", "Fe", "Fe", "Sb", "Sb", "Os", "Os"],
  "fractional_positions": [[0.0000, 0.0000, 0.0000], [0.0000, 0.5000, 0.2176], [0.5000, 0.0000, 0.2176], [0.5000, 0.5000, 0.0000], [0.0000, 0.0000, 0.4856], [0.5000, 0.5000, 0.4856], [0.0000, 0.5000, 0.7678], [0.5000, 0.0000, 0.7678]],
  "magmom_total_mub_per_fu": 5.79,
  "density_g_cm3": 11.1,
  "raw_formation_energy_ev_per_atom": 0.6747,
  "crystal_system": "orthorhombic",
  "dft_energy_ev_per_atom": -7.395
}

(7)
{
  "formula": "Li2FeMo",
  "functional": "PBE-GGA",
  "state": "relaxed",
  "cell": [[8.5530, 0.0000, 0.0000], [0.0000, 2.4882, 0.0000], [-0.2230, 0.0000, 5.2953]],
  "species": ["Li", "Li", "Li", "Li", "Fe", "Fe", "Mo", "Mo"],
  "fractional_positions": [[0.0000, 0.0000, 0.0000], [0.2481, 0.0000, 0.7811], [0.5000, 0.5000, 0.0000], [0.7481, 0.5000, 0.7811], [0.2405, 0.5000, 0.2938], [0.7405, 0.0000, 0.2938], [0.4962, 0.0000, 0.4727], [0.9962, 0.5000, 0.4727]],
  "magmom_total_mub_per_fu": 1.34,
  "density_g_cm3": 4.9,
  "crystal_system": "monoclinic",
  "polymorph_energy_ev_per_fu": 0.54,
  "dft_energy_ev_per_atom": -5.416,
  "formation_energy_ev_per_atom": 0.36
}

(8)
{
  "formula": "Tb3Bi",
  "functional": "PBE-GGA",
  "state": "relaxed",
  "cell": [[4.8726, 0.0000, 0.0000], [0.0000, 4.8726, 0.0000], [0.0000, 0.0000, 4.8726]],
  "species": ["Tb", "Tb", "Tb", "Bi"],
  "fractional_positions": [[0.0000, 0.0000, 0.5000], [0.0000, 0.5000, 0.0000], [0.5000, 0.0000, 0.0000], [0.5000, 0.5000, 0.5000]],
  "magmom_total_mub_per_fu": 0.00,
  "density_g_cm3": 9.8,
  "crystal_system": "cubic",
  "dft_energy_ev_per_atom": -4.799,
  "formation_energy_ev_per_atom": -0.36
}

(9)
{
  "formula": "MgInPO2",
  "functional": "PBE-GGA",
  "state": "relaxed",
  "cell": [[3.8758, 0.0000, 0.0000], [0.0000, 3.8758, 0.0000], [0.0000, 0.0000, 5.3473]],
  "species": ["Mg", "In", "P", "O", "O"],
  "fractional_positions": [[0.0000, 0.0000, 0.0000], [0.5000, 0.5000, 0.5000], [0.0000, 0.0000, 0.5000], [0.0000, 0.5000, 0.0000], [0.5000, 0.0000, 0.0000]],
  "magmom_total_mub_per_fu": 0.00,
  "density_g_cm3": 4.2,
  "raw_formation_energy_ev_per_atom": -0.3821,
  "crystal_system": "tetragonal",
  "polymorph_energy_ev_per_fu": 0.00,
  "dft_energy_ev_per_atom": -4.314
}

(10)
{
  "formula": "LiInBiO4",
  "functional": "PBE-GGA",
  "state": "relaxed",
  "cell": [[-3.2440, 3.4229, 4.6518], [3.2440, -3.4229, 4.6518], [3.2440, 3.4229, -4.6518]],
  "species": ["Li", "Li", "In", "In", "Bi", "Bi", "O", "O", "O", "O", "O", "O", "O", "O"],
  "fractional_positions": [[0.3740, 0.1240, 0.2500], [0.6260, 0.8760, 0.7500], [0.0000, 0.0000, 0.5000], [0.0000, 0.5000, 0.0000], [0.0000, 0.5000, 0.5000], [0.5000, 0.5000, 0.0000], [0.2123, 0.7418, 0.4705], [0.2287, 0.2582, 0.9705], [0.2421, 0.2591, 0.5170], [0.2421, 0.7251, 0.9830], [0.7579, 0.2749, 0.0170], [0.7579, 0.7409, 0.4830], [0.7713, 0.7418, 0.0295], [0.7877, 0.2582, 0.5295]],
  "magmom_total_mub_per_fu": 0.00,
  "density_g_cm3": 6.3,
  "raw_formation_energy_ev_per_atom": -1.3725,
  "crystal_system": "orthorhombic",
  "dft_energy_ev_per_atom": -5.425
}

(11)
{
  "formula": "ZrHgRu2Cl",
  "functional": "PBE-GGA",
  "state": "relaxed",
  "cell": [[5.0457, 0.0000, 0.0000], [0.0000, 5.0457, 0.0000], [0.0000, 0.0000, 4.8923]],
  "species": ["Zr", "Hg", "Ru", "Ru", "Cl"],
  "fractional_positions": [[0.0000, 0.0000, 0.0000], [0.5000, 0.5000, 0.5000], [0.0000, 0.5000, 0.5000], [0.5000, 0.0000, 0.5000], [0.5000, 0.5000, 0.0000]],
  "magmom_total_mub_per_fu": 2.31,
  "density_g_cm3": 7.1,
  "raw_formation_energy_ev_per_atom": 1.7189,
  "crystal_system": "tetragonal",
  "dft_energy_ev_per_atom": -4.131
}

(12)
{
  "formula": "La3SiMo",
  "functional": "PBE-GGA",
  "state": "relaxed",
  "cell": [[5.3780, 0.0000, 0.0000], [0.0000, 5.3780, 0.0000], [0.0000, 0.0000, 5.3780]],
  "species": ["La", "La", "La", "Si", "Mo"],
  "fractional_positions": [[0.0000, 0.0000, 0.5000], [0.0000, 0.5000, 0.0000], [0.5000, 0.0000, 0.0000], [0.5000, 0.5000, 0.5000], [0.0000, 0.0000, 0.0000]],
  "magmom_total_mub_per_fu": 0.00,
  "density_g_cm3": 5.8,
  "raw_formation_energy_ev_per_atom": 0.2271,
  "crystal_system": "cubic",
  "polymorph_energy_ev_per_fu": 0.00,
  "dft_energy_ev_per_atom": -5.980
}

(13)
{
  "formula": "BaCa2Ni",
  "functional": "PBE-GGA",
  "state": "relaxed",
  "cell": [[3.7453, 0.0000, 0.0000], [0.0000, 3.7453, 0.0000], [0.0000, 0.0000, 9.8458]],
  "species": ["Ba", "Ca", "Ca", "Ni"],
  "fractional_positions": [[0.0000, 0.0000, 0.0000], [0.0000, 0.0000, 0.3512], [0.5000, 0.5000, 0.6485], [0.5000, 0.5000, 0.2001]],
  "magmom_total_mub_per_fu": 0.00,
  "density_g_cm3": 3.3,
  "crystal_system": "tetragonal",
  "polymorph_energy_ev_per_fu": 0.17,
  "dft_energy_ev_per_atom": -2.845,
  "formation_energy_ev_per_atom": 0.08
}

(14)
{
  "formula": "Y4AlAg2Hg",
  "functional": "PBE-GGA",
  "state": "relaxed",
  "cell": [[2.5912, 1.4960, 8.4781], [-2.5912, 1.4960, 8.4781], [0.0000, -2.9920, 8.4781]],
  "species": ["Y", "Y", "Y", "Y", "Al", "Ag", "Ag", "Hg"],
  "fractional_positions": [[0.1242, 0.1242, 0.1242], [0.3744, 0.3744, 0.3744], [0.6256, 0.6256, 0.6256], [0.8758, 0.8758, 0.8758], [0.0000, 0.0000, 0.0000], [0.2525, 0.2525, 0.2525], [0.7475, 0.7475, 0.7475], [0.5000, 0.5000, 0.5000]],
  "magmom_total_mub_per_fu": 0.00,
  "density_g_cm3": 6.7,
  "crystal_system": "trigonal",
  "dft_energy_ev_per_atom": -4.850,
  "formation_energy_ev_per_atom": -0.40
}

(15)
{
  "formula": "TiSi2Ir",
  "functional": "PBE-GGA",
  "state": "relaxed",
  "cell": [[3.8217, 0.0000, 0.0000], [0.0000, 3.8217, 0.0000], [0.0000, 0.0000, 17.2942]],
  "species": ["Ti", "Ti", "Ti", "Ti", "Si", "Si", "Si", "Si", "Si", "Si", "Si", "Si", "Ir", "Ir", "Ir", "Ir"],
  "fractional_positions": [[0.0000, 0.0000, 0.0000], [0.0000, 0.5000, 0.2500], [0.5000, 0.0000, 0.7500], [0.5000, 0.5000, 0.5000], [0.2234, 0.2500, 0.6250], [0.2500, 0.7234, 0.8750], [0.2500, 0.7766, 0.3750], [0.2766, 0.2500, 0.1250], [0.7234, 0.7500, 0.1250], [0.7500, 0.2234, 0.3750], [0.7500, 0.2766, 0.8750], [0.7766, 0.7500, 0.6250], [0.0000, 0.0000, 0.5000], [0.0000, 0.5000, 0.7500], [0.5000, 0.0000, 0.2500], [0.5000, 0.5000, 0.0000]],
  "magmom_total_mub_per_fu": 0.00,
  "density_g_cm3": 7.8,
  "raw_formation_energy_ev_per_atom": -0.2129,
  "crystal_system": "tetragonal",
  "dft_energy_ev_per_atom": -7.113
}

(16)
{
  "formula": "Ta2ZnBr",
  "functional": "PBE-GGA",
  "state": "relaxed",
  "cell": [[4.0213, 0.0000, 0.0000], [0.0000, 4.0213, 0.0000], [0.0000, 0.0000, 8.9030]],
  "species": ["Ta", "Ta", "Ta", "Ta", "Zn", "Zn", "Br", "Br"],
  "fractional_positions": [[0.0000, 0.0000, 0.0000], [0.0000, 0.5000, 0.2500], [0.5000, 0.0000, 0.7500], [0.5000, 0.5000, 0.5000], [0.0000, 0.5000, 0.7500], [0.5000, 0.0000, 0.2500], [0.0000, 0.0000, 0.5000], [0.5000, 0.5000, 0.0000]],
  "magmom_total_mub_per_fu": 0.00,
  "density_g_cm3": 11.7,
  "raw_formation_energy_ev_per_atom": 0.7582,
  "crystal_system": "tetragonal",
  "polymorph_energy_ev_per_fu": 2.37,
  "dft_energy_ev_per_atom": -5.905
}